Entry 1:
# HfB2W (PBE-GGA, optimized geometry)
# - Symmetry: Fm-3m
# - Formation energy: 0.273 eV/atom
data_HfB2W
_symmetry_space_group_name_H-M 'P 1'
_symmetry_Int_Tables_number 1
_cell_length_a 4.0881
_cell_length_b 4.0881
_cell_length_c 4.0881
_cell_angle_alpha 60.00
_cell_angle_beta 60.00
_cell_angle_gamma 60.00
loop_
_symmetry_equiv_pos_as_xyz
'x,y,z'
loop_
_atom_site_label
_atom_site_type_symbol
_atom_site_fract_x
_atom_site_fract_y
_atom_site_fract_z
Hf1 Hf 0.0000 0.0000 0.0000
B1 B 0.2500 0.2500 0.2500
B2 B 0.7500 0.7500 0.7500
W1 W 0.5000 0.5000 0.5000

---

Entry 2:
# KCuGe2 (PBE-GGA, optimized geometry)
# - Symmetry: R-3m
# - Formation energy: -0.079 eV/atom
data_KCuGe2
_symmetry_space_group_name_H-M 'P 1'
_symmetry_Int_Tables_number 1
_cell_length_a 7.0280
_cell_length_b 7.0280
_cell_length_c 7.0280
_cell_angle_alpha 33.93
_cell_angle_beta 33.93
_cell_angle_gamma 33.93
loop_
_symmetry_equiv_pos_as_xyz
'x,y,z'
loop_
_atom_site_label
_atom_site_type_symbol
_atom_site_fract_x
_atom_site_fract_y
_atom_site_fract_z
K1 K 0.0000 0.0000 0.0000
Cu1 Cu 0.5000 0.5000 0.5000
Ge1 Ge 0.2079 0.2079 0.2079
Ge2 Ge 0.7921 0.7921 0.7921

---

Entry 3:
# SrMg2Tl2In (PBE-GGA, optimized geometry)
# - Symmetry: P-3m1
# - Formation energy: -0.194 eV/atom
data_SrMg2Tl2In
_symmetry_space_group_name_H-M 'P 1'
_symmetry_Int_Tables_number 1
_cell_length_a 5.0456
_cell_length_b 5.0456
_cell_length_c 7.6378
_cell_angle_alpha 90.00
_cell_angle_beta 90.00
_cell_angle_gamma 120.00
loop_
_symmetry_equiv_pos_as_xyz
'x,y,z'
loop_
_atom_site_label
_atom_site_type_symbol
_atom_site_fract_x
_atom_site_fract_y
_atom_site_fract_z
Sr1 Sr 0.0000 0.0000 0.0000
Mg1 Mg 0.3333 0.6667 0.6531
Mg2 Mg 0.6667 0.3333 0.3469
Tl1 Tl 0.3333 0.6667 0.2299
Tl2 Tl 0.6667 0.3333 0.7701
In1 In 0.0000 0.0000 0.5000

---

Entry 4:
# ZrTi2Au (PBE-GGA, optimized geometry)
# - Symmetry: P4/mmm
# - Formation energy: -0.209 eV/atom
data_ZrTi2Au
_symmetry_space_group_name_H-M 'P 1'
_symmetry_Int_Tables_number 1
_cell_length_a 4.2256
_cell_length_b 4.2256
_cell_length_c 4.1074
_cell_angle_alpha 90.00
_cell_angle_beta 90.00
_cell_angle_gamma 90.00
loop_
_symmetry_equiv_pos_as_xyz
'x,y,z'
loop_
_atom_site_label
_atom_site_type_symbol
_atom_site_fract_x
_atom_site_fract_y
_atom_site_fract_z
Zr1 Zr 0.0000 0.0000 0.0000
Ti1 Ti 0.0000 0.5000 0.5000
Ti2 Ti 0.5000 0.0000 0.5000
Au1 Au 0.5000 0.5000 0.0000

---

Entry 5:
# CoCuP (PBE-GGA, optimized geometry)
# - Symmetry: P-6m2
# - Formation energy: -0.139 eV/atom
data_CoCuP
_symmetry_space_group_name_H-M 'P 1'
_symmetry_Int_Tables_number 1
_cell_length_a 3.7257
_cell_length_b 3.7257
_cell_length_c 2.9803
_cell_angle_alpha 90.00
_cell_angle_beta 90.00
_cell_angle_gamma 120.00
loop_
_symmetry_equiv_pos_as_xyz
'x,y,z'
loop_
_atom_site_label
_atom_site_type_symbol
_atom_site_fract_x
_atom_site_fract_y
_atom_site_fract_z
Co1 Co 0.0000 0.0000 0.0000
Cu1 Cu 0.3333 0.6667 0.5000
P1 P 0.6667 0.3333 0.0000

---

Entry 6:
# K3Nd3ThTe8 (PBE-GGA, optimized geometry)
# - Symmetry: R-3m
# - ΔE_f (raw): -1.3738 eV per atom
data_K3Nd3ThTe8
_symmetry_space_group_name_H-M 'P 1'
_symmetry_Int_Tables_number 1
_cell_length_a 9.9074
_cell_length_b 9.9074
_cell_length_c 9.9074
_cell_angle_alpha 55.12
_cell_angle_beta 55.12
_cell_angle_gamma 55.12
loop_
_symmetry_equiv_pos_as_xyz
'x,y,z'
loop_
_atom_site_label
_atom_site_type_symbol
_atom_site_fract_x
_atom_site_fract_y
_atom_site_fract_z
K1 K 0.0000 0.5000 0.5000
K2 K 0.5000 0.0000 0.5000
K3 K 0.5000 0.5000 0.0000
Nd1 Nd 0.0000 0.0000 0.5000
Nd2 Nd 0.0000 0.5000 0.0000
Nd3 Nd 0.5000 0.0000 0.0000
Th1 Th 0.5000 0.5000 0.5000
Te1 Te 0.2381 0.2381 0.2381
Te2 Te 0.2399 0.7355 0.7355
Te3 Te 0.2645 0.2645 0.7601
Te4 Te 0.2645 0.7601 0.2645
Te5 Te 0.7355 0.2399 0.7355
Te6 Te 0.7355 0.7355 0.2399
Te7 Te 0.7601 0.2645 0.2645
Te8 Te 0.7619 0.7619 0.7619

---

Entry 7:
# Ac3Ga9Tc2 (PBE-GGA, optimized geometry)
# - Symmetry: Immm
# - Formation energy: -0.376 eV/atom
data_Ac3Ga9Tc2
_symmetry_space_group_name_H-M 'P 1'
_symmetry_Int_Tables_number 1
_cell_length_a 8.6050
_cell_length_b 8.6050
_cell_length_c 8.6050
_cell_angle_alpha 149.95
_cell_angle_beta 109.22
_cell_angle_gamma 78.77
loop_
_symmetry_equiv_pos_as_xyz
'x,y,z'
loop_
_atom_site_label
_atom_site_type_symbol
_atom_site_fract_x
_atom_site_fract_y
_atom_site_fract_z
Ac1 Ac 0.0000 0.0000 0.0000
Ac2 Ac 0.3009 0.3009 0.0000
Ac3 Ac 0.6991 0.6991 0.0000
Ga1 Ga 0.0051 0.6537 0.3514
Ga2 Ga 0.1641 0.8786 0.2856
Ga3 Ga 0.3022 0.6537 0.6486
Ga4 Ga 0.4070 0.1214 0.2856
Ga5 Ga 0.5000 0.0000 0.5000
Ga6 Ga 0.5930 0.8786 0.7144
Ga7 Ga 0.6978 0.3463 0.3514
Ga8 Ga 0.8359 0.1214 0.7144
Ga9 Ga 0.9949 0.3463 0.6486
Tc1 Tc 0.3159 0.5000 0.8159
Tc2 Tc 0.6841 0.5000 0.1841

---

Entry 8:
# SrMgGaCu2 (PBE-GGA, optimized geometry)
# - Symmetry: Imm2
# - Formation energy: -0.151 eV/atom
data_SrMgGaCu2
_symmetry_space_group_name_H-M 'P 1'
_symmetry_Int_Tables_number 1
_cell_length_a 6.6056
_cell_length_b 6.6056
_cell_length_c 6.6056
_cell_angle_alpha 145.84
_cell_angle_beta 139.99
_cell_angle_gamma 53.60
loop_
_symmetry_equiv_pos_as_xyz
'x,y,z'
loop_
_atom_site_label
_atom_site_type_symbol
_atom_site_fract_x
_atom_site_fract_y
_atom_site_fract_z
Sr1 Sr 0.0000 0.0000 0.0000
Mg1 Mg 0.2578 0.7578 0.5000
Ga1 Ga 0.6229 0.6229 0.0000
Cu1 Cu 0.4077 0.4077 0.0000
Cu2 Cu 0.7649 0.2649 0.5000

---

Entry 9:
# ZrSbRhI2 (PBE-GGA, optimized geometry)
# - Symmetry: P4/mmm
# - ΔE_f (raw): 0.6540 eV per atom
data_ZrSbRhI2
_symmetry_space_group_name_H-M 'P 1'
_symmetry_Int_Tables_number 1
_cell_length_a 5.6087
_cell_length_b 5.6087
_cell_length_c 5.7568
_cell_angle_alpha 90.00
_cell_angle_beta 90.00
_cell_angle_gamma 90.00
loop_
_symmetry_equiv_pos_as_xyz
'x,y,z'
loop_
_atom_site_label
_atom_site_type_symbol
_atom_site_fract_x
_atom_site_fract_y
_atom_site_fract_z
Zr1 Zr 0.0000 0.0000 0.0000
Sb1 Sb 0.0000 0.0000 0.5000
Rh1 Rh 0.5000 0.5000 0.5000
I1 I 0.0000 0.5000 0.0000
I2 I 0.5000 0.0000 0.0000

---

Entry 10:
# Zr2HgPd9 (PBE-GGA, optimized geometry)
# - Symmetry: P4/mmm
# - Formation energy: -0.616 eV/atom
data_Zr2HgPd9
_symmetry_space_group_name_H-M 'P 1'
_symmetry_Int_Tables_number 1
_cell_length_a 4.0416
_cell_length_b 4.0416
_cell_length_c 12.1548
_cell_angle_alpha 90.00
_cell_angle_beta 90.00
_cell_angle_gamma 90.00
loop_
_symmetry_equiv_pos_as_xyz
'x,y,z'
loop_
_atom_site_label
_atom_site_type_symbol
_atom_site_fract_x
_atom_site_fract_y
_atom_site_fract_z
Zr1 Zr 0.0000 0.0000 0.1695
Zr2 Zr 0.0000 0.0000 0.8305
Hg1 Hg 0.0000 0.0000 0.5000
Pd1 Pd 0.0000 0.5000 0.0000
Pd2 Pd 0.0000 0.5000 0.3267
Pd3 Pd 0.0000 0.5000 0.6733
Pd4 Pd 0.5000 0.0000 0.0000
Pd5 Pd 0.5000 0.0000 0.3267
Pd6 Pd 0.5000 0.0000 0.6733
Pd7 Pd 0.5000 0.5000 0.1635
Pd8 Pd 0.5000 0.5000 0.5000
Pd9 Pd 0.5000 0.5000 0.8365

---

Entry 11:
# NaIn2TcGe (PBE-GGA, optimized geometry)
# - Symmetry: P4/mmm
# - Formation energy: 0.022 eV/atom
data_NaIn2TcGe
_symmetry_space_group_name_H-M 'P 1'
_symmetry_Int_Tables_number 1
_cell_length_a 5.2540
_cell_length_b 5.2540
_cell_length_c 4.8166
_cell_angle_alpha 90.00
_cell_angle_beta 90.00
_cell_angle_gamma 90.00
loop_
_symmetry_equiv_pos_as_xyz
'x,y,z'
loop_
_atom_site_label
_atom_site_type_symbol
_atom_site_fract_x
_atom_site_fract_y
_atom_site_fract_z
Na1 Na 0.0000 0.0000 0.0000
In1 In 0.0000 0.5000 0.5000
In2 In 0.5000 0.0000 0.5000
Tc1 Tc 0.5000 0.5000 0.5000
Ge1 Ge 0.5000 0.5000 0.0000

---

Entry 12:
# V2Re2B (PBE-GGA, optimized geometry)
# - Symmetry: I4/mmm
# - Formation energy: 1.274 eV/atom
data_V2Re2B
_symmetry_space_group_name_H-M 'P 1'
_symmetry_Int_Tables_number 1
_cell_length_a 6.2009
_cell_length_b 6.2009
_cell_length_c 6.2009
_cell_angle_alpha 144.61
_cell_angle_beta 144.61
_cell_angle_gamma 50.91
loop_
_symmetry_equiv_pos_as_xyz
'x,y,z'
loop_
_atom_site_label
_atom_site_type_symbol
_atom_site_fract_x
_atom_site_fract_y
_atom_site_fract_z
V1 V 0.2500 0.7500 0.5000
V2 V 0.7500 0.2500 0.5000
Re1 Re 0.1113 0.1113 0.0000
Re2 Re 0.8887 0.8887 0.0000
B1 B 0.5000 0.5000 0.0000

---

Entry 13:
# KMn (PBE-GGA, optimized geometry)
# - Symmetry: C2/m
# - Formation energy: 0.921 eV/atom
data_KMn
_symmetry_space_group_name_H-M 'P 1'
_symmetry_Int_Tables_number 1
_cell_length_a 6.8422
_cell_length_b 6.8422
_cell_length_c 6.5255
_cell_angle_alpha 107.51
_cell_angle_beta 107.51
_cell_angle_gamma 26.17
loop_
_symmetry_equiv_pos_as_xyz
'x,y,z'
loop_
_atom_site_label
_atom_site_type_symbol
_atom_site_fract_x
_atom_site_fract_y
_atom_site_fract_z
K1 K 0.0976 0.0976 0.3119
K2 K 0.9024 0.9024 0.6881
Mn1 Mn 0.3203 0.3203 0.1280
Mn2 Mn 0.6797 0.6797 0.8720

---

Entry 14:
# La4Dy3Er4 (PBE-GGA, optimized geometry)
# - Symmetry: C2/m
# - Formation energy: 0.070 eV/atom
data_La4Dy3Er4
_symmetry_space_group_name_H-M 'P 1'
_symmetry_Int_Tables_number 1
_cell_length_a 18.2853
_cell_length_b 18.2853
_cell_length_c 5.7141
_cell_angle_alpha 98.98
_cell_angle_beta 98.98
_cell_angle_gamma 11.05
loop_
_symmetry_equiv_pos_as_xyz
'x,y,z'
loop_
_atom_site_label
_atom_site_type_symbol
_atom_site_fract_x
_atom_site_fract_y
_atom_site_fract_z
La1 La 0.0919 0.0919 0.0914
La2 La 0.2306 0.2306 0.7304
La3 La 0.7694 0.7694 0.2696
La4 La 0.9081 0.9081 0.9086
Dy1 Dy 0.3637 0.3637 0.3641
Dy2 Dy 0.5000 0.5000 0.0000
Dy3 Dy 0.6363 0.6363 0.6359
Er1 Er 0.0448 0.0448 0.5443
Er2 Er 0.1816 0.1816 0.1815
Er3 Er 0.8184 0.8184 0.8185
Er4 Er 0.9552 0.9552 0.4557

---

Entry 15:
# TaNbVW (PBE-GGA, optimized geometry)
# - Symmetry: F-43m
# - Formation energy: -0.027 eV/atom
data_TaNbVW
_symmetry_space_group_name_H-M 'P 1'
_symmetry_Int_Tables_number 1
_cell_length_a 4.5467
_cell_length_b 4.5467
_cell_length_c 4.5467
_cell_angle_alpha 60.00
_cell_angle_beta 60.00
_cell_angle_gamma 60.00
loop_
_symmetry_equiv_pos_as_xyz
'x,y,z'
loop_
_atom_site_label
_atom_site_type_symbol
_atom_site_fract_x
_atom_site_fract_y
_atom_site_fract_z
Ta1 Ta 0.0000 0.0000 0.0000
Nb1 Nb 0.5000 0.5000 0.5000
V1 V 0.7500 0.7500 0.7500
W1 W 0.2500 0.2500 0.2500

---

Entry 16:
# SmY2Ag (PBE-GGA, optimized geometry)
# - Symmetry: R3m
# - Formation energy: -0.009 eV/atom
data_SmY2Ag
_symmetry_space_group_name_H-M 'P 1'
_symmetry_Int_Tables_number 1
_cell_length_a 10.5525
_cell_length_b 10.5525
_cell_length_c 10.5525
_cell_angle_alpha 19.94
_cell_angle_beta 19.94
_cell_angle_gamma 19.94
loop_
_symmetry_equiv_pos_as_xyz
'x,y,z'
loop_
_atom_site_label
_atom_site_type_symbol
_atom_site_fract_x
_atom_site_fract_y
_atom_site_fract_z
Sm1 Sm 0.0000 0.0000 0.0000
Y1 Y 0.2397 0.2397 0.2397
Y2 Y 0.4276 0.4276 0.4276
Ag1 Ag 0.8338 0.8338 0.8338

---

Entry 17:
# CoMoPd (PBE-GGA, optimized geometry)
# - Symmetry: I4mm
# - Formation energy: 0.046 eV/atom
data_CoMoPd
_symmetry_space_group_name_H-M 'P 1'
_symmetry_Int_Tables_number 1
_cell_length_a 5.9312
_cell_length_b 5.9312
_cell_length_c 5.9312
_cell_angle_alpha 153.45
_cell_angle_beta 153.45
_cell_angle_gamma 37.90
loop_
_symmetry_equiv_pos_as_xyz
'x,y,z'
loop_
_atom_site_label
_atom_site_type_symbol
_atom_site_fract_x
_atom_site_fract_y
_atom_site_fract_z
Co1 Co 0.0000 0.0000 0.0000
Mo1 Mo 0.6495 0.6495 0.0000
Pd1 Pd 0.3329 0.3329 0.0000

---

Entry 18:
# CsPmZnI6 (PBE-GGA, optimized geometry)
# - Symmetry: P312
# - ΔE_f (raw): -1.1136 eV per atom
data_CsPmZnI6
_symmetry_space_group_name_H-M 'P 1'
_symmetry_Int_Tables_number 1
_cell_length_a 7.7916
_cell_length_b 7.7916
_cell_length_c 8.7344
_cell_angle_alpha 90.00
_cell_angle_beta 90.00
_cell_angle_gamma 120.00
loop_
_symmetry_equiv_pos_as_xyz
'x,y,z'
loop_
_atom_site_label
_atom_site_type_symbol
_atom_site_fract_x
_atom_site_fract_y
_atom_site_fract_z
Cs1 Cs 0.0000 0.0000 0.0000
Pm1 Pm 0.3333 0.6667 0.5000
Zn1 Zn 0.6667 0.3333 0.5000
I1 I 0.3812 0.0208 0.6974
I2 I 0.3812 0.3603 0.3026
I3 I 0.6397 0.0208 0.3026
I4 I 0.6397 0.6188 0.6974
I5 I 0.9792 0.3603 0.6974
I6 I 0.9792 0.6188 0.3026

---

Entry 19:
# Sr3Ni (PBE-GGA, optimized geometry)
# - Symmetry: P4/mmm
# - Formation energy: 0.092 eV/atom
data_Sr3Ni
_symmetry_space_group_name_H-M 'P 1'
_symmetry_Int_Tables_number 1
_cell_length_a 3.8340
_cell_length_b 3.8340
_cell_length_c 10.2404
_cell_angle_alpha 90.00
_cell_angle_beta 90.00
_cell_angle_gamma 90.00
loop_
_symmetry_equiv_pos_as_xyz
'x,y,z'
loop_
_atom_site_label
_atom_site_type_symbol
_atom_site_fract_x
_atom_site_fract_y
_atom_site_fract_z
Sr1 Sr 0.0000 0.0000 0.0000
Sr2 Sr 0.5000 0.5000 0.3302
Sr3 Sr 0.5000 0.5000 0.6698
Ni1 Ni 0.0000 0.0000 0.5000

---

Entry 20:
# RbCO3 (PBE-GGA, optimized geometry)
# - Symmetry: Pm-3m
# - ΔE_f (raw): 0.8498 eV per atom
data_RbCO3
_symmetry_space_group_name_H-M 'P 1'
_symmetry_Int_Tables_number 1
_cell_length_a 3.6859
_cell_length_b 3.6859
_cell_length_c 3.6859
_cell_angle_alpha 90.00
_cell_angle_beta 90.00
_cell_angle_gamma 90.00
loop_
_symmetry_equiv_pos_as_xyz
'x,y,z'
loop_
_atom_site_label
_atom_site_type_symbol
_atom_site_fract_x
_atom_site_fract_y
_atom_site_fract_z
Rb1 Rb 0.0000 0.0000 0.0000
C1 C 0.5000 0.5000 0.5000
O1 O 0.0000 0.5000 0.5000
O2 O 0.5000 0.0000 0.5000
O3 O 0.5000 0.5000 0.0000